# 1
# Ac2Pr3PuTe6, relaxed, DFT GGA-PBE
# - Raw formation energy: -1.40 eV/atom
data_Ac2Pr3PuTe6
_chemical_formula_sum 'Ac4 Pr6 Pu2 Te12'
_cell_length_a 20.006
_cell_length_b 4.567
_cell_length_c 9.219
_cell_angle_alpha 90.00
_cell_angle_beta 103.43
_cell_angle_gamma 90.00
_symmetry_space_group_name_H-M 'C 1 2/m 1'
_symmetry_Int_Tables_number 12
loop_
_symmetry_equiv_pos_as_xyz
'x,y,z'
'-x,-y,-z'
'-x,y,-z'
'x,-y,z'
'x+1/2,y+1/2,z'
'-x+1/2,-y+1/2,-z'
'-x+1/2,y+1/2,-z'
'x+1/2,-y+1/2,z'
loop_
_atom_site_label
_atom_site_fract_x
_atom_site_fract_y
_atom_site_fract_z
Ac1 0.164 0.000 0.332
Pr1 0.000 0.500 0.500
Pr2 0.170 0.000 0.838
Pu1 0.000 0.500 0.000
Te1 0.005 0.000 0.758
Te2 0.163 0.500 0.075
Te3 0.165 0.500 0.592

=====

# 2
# ZrAsNO2, relaxed, DFT GGA-PBE
# - Raw formation energy: -0.56 eV/atom
data_ZrAsNO2
_chemical_formula_sum 'Zr1 As1 N1 O2'
_cell_length_a 3.835
_cell_length_b 3.835
_cell_length_c 3.965
_cell_angle_alpha 90.00
_cell_angle_beta 90.00
_cell_angle_gamma 90.00
_symmetry_space_group_name_H-M 'P 4/m m m'
_symmetry_Int_Tables_number 123
_symmetry_space_group_name_Hall '-P 4 2'
loop_
_atom_site_label
_atom_site_fract_x
_atom_site_fract_y
_atom_site_fract_z
Zr1 0.000 0.000 0.000
As1 0.500 0.500 0.500
N1 0.500 0.500 0.000
O1 0.000 0.500 0.500